This record from the Alexandria database describes an optimized crystal structure of Ce2In4Pb. The functional is PBE.

Output
- Energy of formation from the pure elements: -1.030 eV/f.u.
- Calculated volume: 28.452 A^3/atom
- Raw total energy: -55.12 eV/cell
- M_tot: 1.94 μB per formula unit

a = 11.0218 Å, b = 6.2259 Å, c = 6.5867 Å
α = 118.20°, β = 90.00°, γ = 90.00°
Closest atoms and distances in Å follow each position.
Atoms (fractional coordinates):
Pb1 0.0000 0.0000 0.0000  4 In 3.16-3.17, 4 Ce 3.41
Pb2 0.5000 0.5000 0.0000  4 In 3.16-3.17, 4 Ce 3.41
Ce1 0.0000 0.6196 0.2392  1 Ce 2.78
Ce2 0.0000 0.3804 0.7608  1 Ce 2.78
Ce3 0.5000 0.8804 0.7608  1 Ce 2.78
Ce4 0.5000 0.1196 0.2392  1 Ce 2.78
In1 0.7500 0.7496 0.0000  4 In 2.90-3.11, 2 Pb 3.16-3.17
In2 0.7500 0.5025 0.5000  4 In 2.90-3.11
In3 0.7500 0.0025 0.5000  4 In 2.90-3.11
In4 0.7500 0.2496 0.0000  4 In 2.90-3.11, 2 Pb 3.16-3.17
In5 0.2500 0.7504 0.0000  4 In 2.90-3.11, 2 Pb 3.16-3.17
In6 0.2500 0.9975 0.5000  4 In 2.90-3.11
In7 0.2500 0.4975 0.5000  4 In 2.90-3.11
In8 0.2500 0.2504 0.0000  4 In 2.90-3.11, 2 Pb 3.16-3.17